(1)
Here is an optimized crystal structure of Sr3TaAg from Alexandria. Energies are from PBE-GGA.

The space group is Pm-3m (No. 221) and the conventional cell measures 5.939, 5.939 and 5.939 Å, with angles of 90.00, 90.00 and 90.00 degrees. The asymmetric unit holds Sr at (0.000, 0.000, 0.500), Ta at (0.500, 0.500, 0.500) and Ag at (0.000, 0.000, 0.000).

As for the excess energy over the best structure of this formula in the dataset: 0.0 kJ per mole of atoms. The calculation puts the density of states at the Fermi level at 3.72 states/eV/cell. The value obtained for the density is 4.37 Mg/m³.



(2)
Here is an optimized crystal structure of SrTa4Ag from Alexandria. Energies are from PBE-GGA.

The space group is F-43m (No. 216) and the conventional cell measures 8.063, 8.063 and 8.063 Å, with angles of 90.00, 90.00 and 90.00 degrees. The asymmetric unit holds Sr at (0.000, 0.000, 0.000), Ta at (0.127, 0.127, 0.627) and Ag at (0.250, 0.250, 0.250).

The calculation puts the density of states at the Fermi level at 24.05 states/eV/cell. The value obtained for the density is 11.65 Mg/m³.



(3)
Here is an optimized crystal structure of SrTaAg2 from Alexandria. Energies are from PBE-GGA.

The space group is Pmm2 (No. 25) and the conventional cell measures 3.063, 5.141 and 5.509 Å, with angles of 90.00, 90.00 and 90.00 degrees. The asymmetric unit holds Sr at (0.000, 0.000, 0.000), Ta at (0.000, 0.500, 0.588), Ag at (0.500, 0.000, 0.499) and Ag at (0.500, 0.500, 0.134).

As for the excess energy over the best structure of this formula in the dataset: 9.0 kJ per mole of atoms. The calculation puts the density of states at the Fermi level at 2.85 states/eV/cell. The value obtained for the density is 9.27 Mg/m³.



(4)
Here is an optimized crystal structure of SrTaAg2 from Alexandria. Energies are from PBE-GGA.

The space group is P4/mmm (No. 123) and the conventional cell measures 3.399, 3.399 and 7.746 Å, with angles of 90.00, 90.00 and 90.00 degrees. The asymmetric unit holds Sr at (0.000, 0.000, 0.000), Ta at (0.000, 0.000, 0.500) and Ag at (0.500, 0.500, 0.296).

As for the excess energy over the best structure of this formula in the dataset: 0.0 kJ per mole of atoms. The calculation puts the density of states at the Fermi level at 3.24 states/eV/cell. The value obtained for the density is 8.98 Mg/m³.



(5)
Here is an optimized crystal structure of SrTaAg2 from Alexandria. Energies are from PBE-GGA.

The space group is R-3m (No. 166, hexagonal axes) and the conventional cell measures 3.1420, 3.1420 and 30.5160 Å, with angles of 90.00, 90.00 and 120.00 degrees. The asymmetric unit holds Sr at (0.0000, 0.0000, 0.0000), Ta at (0.0000, 0.0000, 0.5000) and Ag at (0.0000, 0.0000, 0.2427).

As for the excess energy over the best structure of this formula in the dataset: 23.2 kJ per mole of atoms. The calculation puts the density of states at the Fermi level at 13.68 states/eV/cell. The value obtained for the density is 9.25 Mg/m³.



(6)
Here is an optimized crystal structure of SrTaAg2 from Alexandria. Energies are from PBE-GGA.

The space group is Imm2 (No. 44) and the conventional cell measures 3.025, 5.280 and 11.089 Å, with angles of 90.00, 90.00 and 90.00 degrees. The asymmetric unit holds Sr at (0.000, 0.000, 0.000), Ta at (0.000, 0.500, 0.786), Ag at (0.000, 0.000, 0.512) and Ag at (0.000, 0.500, 0.233).

As for the excess energy over the best structure of this formula in the dataset: 17.1 kJ per mole of atoms. The calculation puts the density of states at the Fermi level at 6.64 states/eV/cell. The value obtained for the density is 9.08 Mg/m³.



| no. | calculated total energy (eV/f.u.) |
| --- | --- |
| 1 | -15.12 |
| 2 | -47.73 |
| 3 | -17.40 |
| 4 | -17.77 |
| 5 | -16.81 |
| 6 | -17.06 |